(1)
A plane-wave DFT calculation with PBE was carried out for SnAsHSe2 after structural relaxation.

abc: 5.1744 5.1744 3.5324
angles: 90.00 90.00 90.00
Element x y z (fractional)
Sn 0.0000 0.0000 0.0000
As 0.5000 0.5000 0.0000
H 0.5000 0.5000 0.5000
Se 0.0000 0.5000 0.5000
Se 0.5000 0.0000 0.5000

Output
energy above the lowest structure with this stoichiometry = 0.000 eV/atom

(2)
A plane-wave DFT calculation with PBE was carried out for SnAsHSe2 after structural relaxation.

abc: 5.3652 5.3652 5.4125
angles: 90.00 90.00 90.00
Element x y z (fractional)
Sn 0.0000 0.0000 0.0000
As 0.0000 0.0000 0.5000
H 0.5000 0.5000 0.5000
Se 0.0000 0.5000 0.0000
Se 0.5000 0.0000 0.0000

Output
energy above the lowest structure with this stoichiometry = 0.681 eV/atom

(3)
A plane-wave DFT calculation with PBE was carried out for SrAsHSe2 after structural relaxation.

abc: 5.8901 5.8901 5.9637
angles: 90.00 90.00 90.00
Element x y z (fractional)
Sr 0.0000 0.0000 0.0000
As 0.0000 0.0000 0.5000
H 0.5000 0.5000 0.5000
Se 0.0000 0.5000 0.0000
Se 0.5000 0.0000 0.0000

Output
energy above the lowest structure with this stoichiometry = 1.195 eV/atom

(4)
A plane-wave DFT calculation with PBE was carried out for SrAsH2Se4 after structural relaxation.

abc: 6.2646 6.2646 6.2646
angles: 124.78 104.62 100.21
Element x y z (fractional)
Sr 0.0000 0.0000 0.0000
As 0.5000 0.5000 0.0000
H 0.3344 0.8344 0.5000
H 0.6656 0.1656 0.5000
Se 0.1531 0.0355 0.5611
Se 0.4744 0.5920 0.4389
Se 0.5256 0.9645 0.1176
Se 0.8469 0.4080 0.8824

Output
electronic total energy = -3.83 eV per atom

(5)
A plane-wave DFT calculation with PBE was carried out for SrAsHSe2 after structural relaxation.

abc: 5.1968 5.1968 3.7277
angles: 90.00 90.00 90.00
Element x y z (fractional)
Sr 0.0000 0.0000 0.0000
As 0.5000 0.5000 0.0000
H 0.5000 0.5000 0.5000
Se 0.0000 0.5000 0.5000
Se 0.5000 0.0000 0.5000

Output
energy above the lowest structure with this stoichiometry = 0.000 eV/atom

(6)
A plane-wave DFT calculation with PBE was carried out for TcAsHSe2 after structural relaxation.

abc: 4.9069 4.9069 4.8234
angles: 90.00 90.00 90.00
Element x y z (fractional)
Tc 0.0000 0.0000 0.0000
As 0.0000 0.0000 0.5000
H 0.5000 0.5000 0.5000
Se 0.0000 0.5000 0.0000
Se 0.5000 0.0000 0.0000

Output
energy above the lowest structure with this stoichiometry = 0.092 eV/atom

(7)
A plane-wave DFT calculation with PBE was carried out for TcAsHSe2 after structural relaxation.

abc: 4.6611 4.6611 3.4074
angles: 90.00 90.00 90.00
Element x y z (fractional)
Tc 0.0000 0.0000 0.0000
As 0.5000 0.5000 0.0000
H 0.5000 0.5000 0.5000
Se 0.0000 0.5000 0.5000
Se 0.5000 0.0000 0.5000

Output
energy above the lowest structure with this stoichiometry = 0.000 eV/atom

(8)
A plane-wave DFT calculation with PBE was carried out for TeAs2HSe after structural relaxation.

abc: 4.0808 4.0808 5.7770
angles: 90.00 90.00 90.00
Element x y z (fractional)
Te 0.0000 0.0000 0.0000
As 0.0000 0.5000 0.5000
As 0.5000 0.0000 0.5000
H 0.5000 0.5000 0.5000
Se 0.5000 0.5000 0.0000

Output
energy above the lowest structure with this stoichiometry = 0.000 eV/atom

(9)
A plane-wave DFT calculation with PBE was carried out for TeAs2HSe after structural relaxation.

abc: 5.4616 5.4616 5.4682
angles: 90.00 90.00 90.00
Element x y z (fractional)
Te 0.0000 0.0000 0.0000
As 0.0000 0.5000 0.0000
As 0.5000 0.0000 0.0000
H 0.5000 0.5000 0.5000
Se 0.0000 0.0000 0.5000

Output
energy above the lowest structure with this stoichiometry = 0.705 eV/atom

(10)
A plane-wave DFT calculation with PBE was carried out for TiAsHSe2 after structural relaxation.

abc: 4.8082 4.8082 3.4252
angles: 90.00 90.00 90.00
Element x y z (fractional)
Ti 0.0000 0.0000 0.0000
As 0.5000 0.5000 0.0000
H 0.5000 0.5000 0.5000
Se 0.0000 0.5000 0.5000
Se 0.5000 0.0000 0.5000

Output
energy above the lowest structure with this stoichiometry = 0.000 eV/atom

(11)
A plane-wave DFT calculation with PBE was carried out for TiAsHSe2 after structural relaxation.

abc: 4.9294 4.9294 4.9244
angles: 90.00 90.00 90.00
Element x y z (fractional)
Ti 0.0000 0.0000 0.0000
As 0.0000 0.0000 0.5000
H 0.5000 0.5000 0.5000
Se 0.0000 0.5000 0.0000
Se 0.5000 0.0000 0.0000

Output
energy above the lowest structure with this stoichiometry = 0.092 eV/atom

(12)
A plane-wave DFT calculation with PBE was carried out for Tl2AsHSe4 after structural relaxation.

abc: 6.4359 6.5836 6.6937
angles: 110.51 100.84 115.78
Element x y z (fractional)
Tl 0.0000 0.0000 0.0000
Tl 0.3450 0.5412 0.8683
As 0.8420 0.5403 0.3725
H 0.3675 0.9353 0.4773
Se 0.2744 0.6553 0.3953
Se 0.5675 0.1906 0.9911
Se 0.7546 0.4077 0.6535
Se 0.8339 0.9190 0.4539

Output
electronic total energy = -3.51 eV per atom

What did the seventh record say?
A plane-wave DFT calculation with PBE was carried out for TcAsHSe2 after structural relaxation.

abc: 4.6611 4.6611 3.4074
angles: 90.00 90.00 90.00
Element x y z (fractional)
Tc 0.0000 0.0000 0.0000
As 0.5000 0.5000 0.0000
H 0.5000 0.5000 0.5000
Se 0.0000 0.5000 0.5000
Se 0.5000 0.0000 0.5000

Output
energy above the lowest structure with this stoichiometry = 0.000 eV/atom